[1]
PbSN2Cl | GGA-PBE | relaxed

a = 4.576 Å, b = 4.576 Å, c = 5.401 Å
α = 90.00°, β = 90.00°, γ = 90.00°
Positions (direct):
1 Pb 0.000 0.000 0.000
2 S 0.000 0.000 0.500
3 N 0.000 0.500 0.000
4 N 0.500 0.000 0.000
5 Cl 0.500 0.500 0.500

Values from the calculation:
As for the space group: P4/mmm (123). For the polymorph energy (0 for the lowest one), the calculation gives 0.000 eV/atom.


[2]
PbSNCl2 | GGA-PBE | relaxed

a = 4.427 Å, b = 4.427 Å, c = 4.781 Å
α = 90.00°, β = 90.00°, γ = 90.00°
Positions (direct):
1 Pb 0.000 0.000 0.000
2 S 0.500 0.500 0.000
3 N 0.500 0.500 0.500
4 Cl 0.000 0.500 0.500
5 Cl 0.500 0.000 0.500

Values from the calculation:
As for the space group: P4/mmm (123). For the polymorph energy (0 for the lowest one), the calculation gives 0.000 eV/atom.


[3]
PbSNCl2 | GGA-PBE | relaxed

a = 5.683 Å, b = 5.683 Å, c = 6.679 Å
α = 90.00°, β = 90.00°, γ = 90.00°
Positions (direct):
1 Pb 0.000 0.000 0.000
2 S 0.000 0.000 0.500
3 N 0.500 0.500 0.500
4 Cl 0.000 0.500 0.000
5 Cl 0.500 0.000 0.000

Values from the calculation:
As for the space group: P4/mmm (123). For the polymorph energy (0 for the lowest one), the calculation gives 0.461 eV/atom.


[4]
PbSN2Cl | GGA-PBE | relaxed

a = 4.208 Å, b = 4.208 Å, c = 4.883 Å
α = 90.00°, β = 90.00°, γ = 90.00°
Positions (direct):
1 Pb 0.000 0.000 0.000
2 S 0.500 0.500 0.000
3 N 0.000 0.500 0.500
4 N 0.500 0.000 0.500
5 Cl 0.500 0.500 0.500

Values from the calculation:
As for the space group: P4/mmm (123). For the polymorph energy (0 for the lowest one), the calculation gives 0.036 eV/atom.


[5]
PbSeNCl2 | GGA-PBE | relaxed

a = 4.693 Å, b = 4.693 Å, c = 4.516 Å
α = 90.00°, β = 90.00°, γ = 90.00°
Positions (direct):
1 Pb 0.000 0.000 0.000
2 Se 0.500 0.500 0.000
3 N 0.500 0.500 0.500
4 Cl 0.000 0.500 0.500
5 Cl 0.500 0.000 0.500

Values from the calculation:
As for the space group: P4/mmm (123).


[6]
PbSeN2Cl | GGA-PBE | relaxed

a = 4.381 Å, b = 4.381 Å, c = 5.983 Å
α = 90.00°, β = 90.00°, γ = 90.00°
Positions (direct):
1 Pb 0.000 0.000 0.000
2 Se 0.000 0.000 0.500
3 N 0.000 0.500 0.000
4 N 0.500 0.000 0.000
5 Cl 0.500 0.500 0.500

Values from the calculation:
As for the space group: P4/mmm (123). For the polymorph energy (0 for the lowest one), the calculation gives 0.000 eV/atom.


no.,uncorrected energy (eV/atom),E_form (uncorrected) (eV per formula unit)
1,-3.469,8.989
2,-3.435,2.678
3,-2.975,4.981
4,-3.433,9.170
5,-3.367,2.376
6,-3.451,8.437